(1)
# Tc2RuAu

A relaxed Tc2RuAu crystal (PBE, the Alexandria database).

a b c (Å): 6.1233 4.8088 2.7873
angles (deg): 90.00 62.92 120.32
With the nearest neighbours (Å) after each atom.
Fractional positions:
Au 0.0000 0.5000 0.5000  2 Ru 2.73, 8 Tc 2.78, 2 Au 2.79
Ru 0.5000 0.5000 0.0000  2 Au 2.73, 8 Tc 2.78, 2 Ru 2.79
Tc 0.0000 0.0000 0.0000  4 Tc 2.73-2.79, 4 Au 2.78, 4 Ru 2.78
Tc 0.5000 0.0000 0.5000  4 Tc 2.73-2.79, 4 Ru 2.78, 4 Au 2.78

Summary:
Its polymorph energy (0 for the lowest one) is 0.417 eV per formula unit. The value obtained for the calculated formation energy is 0.29 eV/atom. Its symmetry is Cmmm. The density of states at the Fermi level is 5.23 states/eV/f.u. For the total magnetization, the calculation gives 0.00 μB per cell.

(2)
# TcRu2Au

A relaxed TcRu2Au crystal (PBE, the Alexandria database).

a b c (Å): 7.0432 7.0432 5.6805
angles (deg): 51.69 51.69 90.00
With the nearest neighbours (Å) after each atom.
Fractional positions:
Ru 0.5793 0.1250 0.2500  2 Tc 2.37
Ru 0.1707 0.6250 0.2500  2 Tc 2.37
Ru 0.3750 0.4207 0.7500  2 Tc 2.37
Ru 0.8750 0.8293 0.7500  2 Tc 2.37
Au 0.0000 0.0000 0.0000  2 Tc 2.73, 4 Ru 2.81
Au 0.7500 0.2500 0.5000  2 Tc 2.73, 4 Ru 2.81
Tc 0.5000 0.5000 0.0000  4 Ru 2.37
Tc 0.2500 0.7500 0.5000  4 Ru 2.37

Summary:
Its polymorph energy (0 for the lowest one) is 1.957 eV per formula unit. The value obtained for the calculated formation energy is 0.64 eV/atom. Its symmetry is I-42d. The density of states at the Fermi level is 0.81 states/eV/f.u. For the total magnetization, the calculation gives 0.00 μB per cell.

(3)
# Tc2RuAu

A relaxed Tc2RuAu crystal (PBE, the Alexandria database).

a b c (Å): 4.8109 4.8109 4.8342
angles (deg): 80.20 80.20 33.54
With the nearest neighbours (Å) after each atom.
Fractional positions:
Au 0.5001 0.5001 0.5000  2 Au 2.78, 7 Tc 2.78-2.87, 3 Ru 2.78-2.88
Ru 0.2600 0.2600 0.2231  5 Tc 2.61-2.81, 2 Ru 2.78, 3 Au 2.78-2.88
Tc 0.9979 0.9979 0.0024  3 Ru 2.65-2.81, 5 Tc 2.70-2.78, 4 Au 2.78-2.79
Tc 0.7420 0.7420 0.7744  2 Ru 2.61, 5 Tc 2.70-2.78, 3 Au 2.79-2.87

Summary:
Its polymorph energy (0 for the lowest one) is 0.195 eV per formula unit. The value obtained for the calculated formation energy is 0.24 eV/atom. Its symmetry is Cm. The density of states at the Fermi level is 3.32 states/eV/f.u. For the total magnetization, the calculation gives 0.00 μB per cell.

(4)
# TcRuAu

A relaxed TcRuAu crystal (PBE, the Alexandria database).

a b c (Å): 6.2297 6.2297 6.2297
angles (deg): 153.86 153.86 37.31
With the nearest neighbours (Å) after each atom.
Fractional positions:
Au 0.0004 0.0004 0.0000  4 Au 2.82, 4 Tc 2.92, 4 Ru 2.94
Ru 0.3179 0.3179 0.0000  4 Tc 2.56, 4 Ru 2.82
Tc 0.6817 0.6817 0.0000  4 Ru 2.56, 4 Tc 2.82

Summary:
Its polymorph energy (0 for the lowest one) is 0.033 eV per formula unit. The value obtained for the calculated formation energy is 0.16 eV/atom. Its symmetry is I4mm. The density of states at the Fermi level is 3.01 states/eV/f.u. For the total magnetization, the calculation gives 0.00 μB per cell.

(5)
# TcRuAu2

A relaxed TcRuAu2 crystal (PBE, the Alexandria database).

a b c (Å): 9.4861 9.4861 9.4861
angles (deg): 17.06 17.06 17.06
With the nearest neighbours (Å) after each atom.
Fractional positions:
Au 0.0003 0.0003 0.0003  6 Au 2.81, 3 Tc 2.84, 3 Ru 2.85
Au 0.4997 0.4997 0.4997  6 Au 2.81, 3 Tc 2.84, 3 Ru 2.85
Ru 0.2500 0.2500 0.2500  6 Ru 2.81, 6 Au 2.85
Tc 0.7500 0.7500 0.7500  6 Tc 2.81, 6 Au 2.84

Summary:
Its polymorph energy (0 for the lowest one) is 1.371 eV per formula unit. The value obtained for the calculated formation energy is 0.46 eV/atom. Its symmetry is R-3m. The density of states at the Fermi level is 6.14 states/eV/f.u. For the total magnetization, the calculation gives 1.06 μB per cell.

(6)
# Tc2Ru2Au

A relaxed Tc2Ru2Au crystal (PBE, the Alexandria database).

a b c (Å): 7.5130 7.5130 2.7508
angles (deg): 90.00 90.00 90.00
With the nearest neighbours (Å) after each atom.
Fractional positions:
Ru 0.3752 0.8752 0.0000  6 Tc 2.60-2.61, 3 Ru 2.65-2.75
Ru 0.8752 0.6248 0.0000  6 Tc 2.60-2.61, 3 Ru 2.65-2.75
Ru 0.6248 0.1248 0.0000  6 Tc 2.60-2.61, 3 Ru 2.65-2.75
Ru 0.1248 0.3752 0.0000  6 Tc 2.60-2.61, 3 Ru 2.65-2.75
Au 0.0000 0.0000 0.0000  2 Au 2.75, 4 Ru 2.97
Au 0.5000 0.5000 0.0000  2 Au 2.75, 4 Ru 2.97
Tc 0.1663 0.6663 0.5000  6 Ru 2.60-2.61, 2 Tc 2.75
Tc 0.6663 0.8337 0.5000  6 Ru 2.60-2.61, 2 Tc 2.75
Tc 0.8337 0.3337 0.5000  6 Ru 2.60-2.61, 2 Tc 2.75
Tc 0.3337 0.1663 0.5000  6 Ru 2.60-2.61, 2 Tc 2.75

Summary:
Its polymorph energy (0 for the lowest one) is 0.000 eV per formula unit. The value obtained for the calculated formation energy is 0.20 eV/atom. Its symmetry is P4/mbm. The density of states at the Fermi level is 3.54 states/eV/f.u. For the total magnetization, the calculation gives 0.00 μB per cell.

(7)
# TcRu2Au

A relaxed TcRu2Au crystal (PBE, the Alexandria database).

a b c (Å): 4.7655 4.7655 4.7655
angles (deg): 131.37 131.37 71.23
With the nearest neighbours (Å) after each atom.
Fractional positions:
Au 0.7500 0.2500 0.5000  8 Ru 2.76, 4 Tc 2.78
Ru 0.0000 0.0000 0.0000  4 Tc 2.76, 4 Au 2.76, 4 Ru 2.78
Ru 0.5000 0.5000 0.0000  4 Au 2.76, 4 Tc 2.76, 4 Ru 2.78
Tc 0.2500 0.7500 0.5000  8 Ru 2.76, 4 Au 2.78

Summary:
Its polymorph energy (0 for the lowest one) is 0.632 eV per formula unit. The value obtained for the calculated formation energy is 0.31 eV/atom. Its symmetry is I4/mmm. The density of states at the Fermi level is 5.70 states/eV/f.u. For the total magnetization, the calculation gives 0.00 μB per cell.

(8)
# TcRu2Au

A relaxed TcRu2Au crystal (PBE, the Alexandria database).

a b c (Å): 4.7484 4.7484 2.7919
angles (deg): 90.00 90.00 108.60
With the nearest neighbours (Å) after each atom.
Fractional positions:
Au 0.0000 0.5000 0.5000  8 Ru 2.75, 2 Tc 2.77, 2 Au 2.79
Ru 0.0000 0.0000 0.0000  4 Tc 2.75, 4 Au 2.75, 4 Ru 2.77-2.79
Ru 0.5000 0.5000 0.0000  4 Au 2.75, 4 Tc 2.75, 4 Ru 2.77-2.79
Tc 0.5000 0.0000 0.5000  8 Ru 2.75, 2 Au 2.77, 2 Tc 2.79

Summary:
Its polymorph energy (0 for the lowest one) is 0.697 eV per formula unit. The value obtained for the calculated formation energy is 0.33 eV/atom. Its symmetry is Cmmm. The density of states at the Fermi level is 3.19 states/eV/f.u. For the total magnetization, the calculation gives 0.00 μB per cell.

Q: What is the total magnetization in the sixth record?
A: 0.00 μB per cell

Q: What is the formula in the fourth record?
A: TcRuAu